The following is a PBE-GGA calculation of Zn3Co2C12N12 after structural relaxation, from the Open Quantum Materials Database.

The final energy is -7.6971 eV/atom.

The structure belongs to space group R-3c (No. 167, hexagonal axes); the cell edges are 12.3740, 12.3740 and 32.1621 Å and the angles 90.00°, 90.00° and 120.00°. The asymmetric unit holds Zn at (0.0000, 0.2899, 0.2500), Co at (0.0000, 0.0000, 0.1463), C at (0.0146, 0.1299, 0.8859), C at (0.0159, 0.1286, 0.1801), N at (0.0246, 0.2149, 0.9048) and N at (0.0260, 0.2074, 0.2024).